# 1
Material: YMgAl
Method: DFT, PBE
State: relaxed

**E_form**: -0.259 eV/atom
**Distance to the lowest polymorph of the same formula**: 77 meV/atom

a b c (Å): 5.008 5.008 6.353
angles (deg): 90.00 90.00 120.00
Element x y z (fractional)
Y  0.000  0.000  0.000
Y  0.333  0.667  0.651
Mg  0.000  0.000  0.489
Mg  0.667  0.333  0.310
Al  0.333  0.667  0.167
Al  0.667  0.333  0.802



# 2
Material: YMgAl
Method: DFT, PBE
State: relaxed

**E_form**: 0.694 eV/atom
**Distance to the lowest polymorph of the same formula**: 1030 meV/atom

a b c (Å): 4.586 4.586 11.438
angles (deg): 90.00 90.00 120.00
Element x y z (fractional)
Y  0.000  0.000  0.000
Y  0.000  0.000  0.500
Mg  0.333  0.667  0.250
Mg  0.667  0.333  0.750
Al  0.000  0.000  0.250
Al  0.000  0.000  0.750



# 3
Material: Y2MgAl3Zn4
Method: DFT, PBE
State: relaxed

**E_form**: -0.333 eV/atom

a b c (Å): 4.224 4.224 10.843
angles (deg): 90.00 90.00 90.00
Element x y z (fractional)
Y  0.000  0.500  0.237
Y  0.500  0.000  0.763
Mg  0.000  0.000  0.500
Al  0.000  0.500  0.867
Al  0.500  0.000  0.133
Al  0.500  0.500  0.500
Zn  0.000  0.000  0.000
Zn  0.000  0.500  0.644
Zn  0.500  0.000  0.356
Zn  0.500  0.500  0.000



# 4
Material: YMgAlZn
Method: DFT, PBE
State: relaxed

**E_form**: -0.281 eV/atom

a b c (Å): 4.894 4.894 4.894
angles (deg): 60.00 60.00 60.00
Element x y z (fractional)
Y  0.000  0.000  0.000
Mg  0.500  0.500  0.500
Al  0.750  0.750  0.750
Zn  0.250  0.250  0.250